Entry 1:
VASP calculation (PBE-GGA) on a relaxed Ir3Os crystal.

a b c (Å): 2.7363 3.8681 5.4657
angles (deg): 90.00 90.00 90.00
Closest atoms and distances in Å follow each position.
Element x y z (fractional)
Ir (0.5000, 0.5000, 0.7500)  2 Os 2.73, 10 Ir 2.74-2.75
Ir (0.0000, 0.0000, 0.0041)  8 Ir 2.69-2.78, 4 Os 2.72
Ir (0.0000, 0.0000, 0.4959)  8 Ir 2.69-2.78, 4 Os 2.72
Os (0.5000, 0.5000, 0.2500)  10 Ir 2.72-2.73, 2 Os 2.74

Properties
DOS(E_F)   3.23 states/eV/cell
Crystal system   orthorhombic
Space-group type   No. 47
E_form   0.018 eV per atom

Entry 2:
VASP calculation (PBE-GGA) on a relaxed ZrAu3Br crystal.

a b c (Å): 5.3278 5.3278 5.3278
angles (deg): 90.00 90.00 90.00
Closest atoms and distances in Å follow each position.
Element x y z (fractional)
Au (0.0000, 0.0000, 0.5000)  2 Zr 2.66
Au (0.5000, 0.0000, 0.0000)  2 Zr 2.66
Au (0.0000, 0.5000, 0.0000)  2 Zr 2.66
Br (0.5000, 0.5000, 0.5000)  12 Au 3.77
Zr (0.0000, 0.0000, 0.0000)  6 Au 2.66

Properties
DOS(E_F)   5.94 states/eV/cell
Crystal system   cubic
Formation energy (no corrections)   0.655 eV/atom
ΔE to the lowest computed polymorph   0.0 meV per atom
Space-group type   No. 221

Entry 3:
VASP calculation (PBE-GGA) on a relaxed Al2CrTePd crystal.

a b c (Å): 5.1822 4.6912 5.1822
angles (deg): 90.00 90.00 90.00
Closest atoms and distances in Å follow each position.
Element x y z (fractional)
Cr (0.0000, 0.5000, 0.0000)  2 Te 2.35
Pd (0.5000, 0.5000, 0.5000)  8 Al 3.50, 4 Cr 3.66
Al (0.5000, 0.0000, 0.0000)  2 Te 2.59
Al (0.0000, 0.0000, 0.5000)  2 Te 2.59
Te (0.0000, 0.0000, 0.0000)  2 Cr 2.35, 4 Al 2.59

Properties
DOS(E_F)   5.59 states/eV/cell
Crystal system   tetragonal
Formation energy (no corrections)   1.395 eV/atom
Space-group type   No. 123

Entry 4:
VASP calculation (PBE-GGA) on a relaxed ScAlCo crystal.

a b c (Å): 5.1150 5.1150 8.1177
angles (deg): 90.00 90.00 119.07
Closest atoms and distances in Å follow each position.
Element x y z (fractional)
Co (0.8252, 0.6390, 0.0000)  2 Co 2.39-2.41, 2 Al 2.45
Co (0.8277, 0.1723, 0.0000)  2 Co 2.39, 2 Al 2.44
Co (0.1641, 0.8359, 0.5000)  6 Al 2.51-2.60
Co (0.3610, 0.1748, 0.0000)  2 Co 2.39-2.41, 2 Al 2.45
Sc (0.6659, 0.3341, 0.2947)  5 Co 2.75-3.08, 7 Al 3.00-3.08
Sc (0.3292, 0.6708, 0.1733)  4 Sc 2.81-3.13, 7 Co 2.87-3.03, 5 Al 2.89-3.06
Sc (0.3292, 0.6708, 0.8267)  4 Sc 2.81-3.13, 7 Co 2.87-3.03, 5 Al 2.89-3.06
Sc (0.6659, 0.3341, 0.7053)  5 Co 2.75-3.08, 7 Al 3.00-3.08
Al (0.0062, 0.9938, 0.7700)  4 Co 2.44-2.60, 2 Al 2.70
Al (0.1643, 0.3445, 0.5000)  2 Co 2.51-2.60, 4 Al 2.55-2.70
Al (0.0062, 0.9938, 0.2300)  4 Co 2.44-2.60, 2 Al 2.70
Al (0.6555, 0.8357, 0.5000)  2 Co 2.51-2.60, 4 Al 2.55-2.70

Properties
DOS(E_F)   10.86 states/eV/cell
Crystal system   orthorhombic
Space-group type   No. 38
E_form   -0.484 eV per atom

Entry 5:
VASP calculation (PBE-GGA) on a relaxed BaAgNO2 crystal.

a b c (Å): 4.3745 4.3745 4.0498
angles (deg): 90.00 90.00 90.00
Closest atoms and distances in Å follow each position.
Element x y z (fractional)
N (0.0000, 0.0000, 0.5000)  2 Ag 2.02
Ba (0.5000, 0.5000, 0.5000)  8 O 2.98, 4 N 3.09
Ag (0.0000, 0.0000, 0.0000)  2 N 2.02, 4 O 2.19
O (0.0000, 0.5000, 0.0000)  2 Ag 2.19
O (0.5000, 0.0000, 0.0000)  2 Ag 2.19

Properties
DOS(E_F)   3.69 states/eV/cell
Crystal system   tetragonal
Formation energy (no corrections)   -0.240 eV/atom
Space-group type   No. 123

Entry 6:
VASP calculation (PBE-GGA) on a relaxed Ba2CrMo crystal.

a b c (Å): 11.1076 11.1076 11.1076
angles (deg): 18.81 18.81 18.81
Closest atoms and distances in Å follow each position.
Element x y z (fractional)
Cr (0.2500, 0.2500, 0.2500)  6 Ba 3.60, 6 Cr 3.63
Mo (0.7500, 0.7500, 0.7500)  6 Ba 3.29, 6 Mo 3.63
Ba (0.4941, 0.4941, 0.4941)  3 Mo 3.29, 3 Cr 3.60, 6 Ba 3.63
Ba (0.0059, 0.0059, 0.0059)  3 Mo 3.29, 3 Cr 3.60, 6 Ba 3.63

Properties
DOS(E_F)   4.77 states/eV/cell
Crystal system   trigonal
ΔE to the lowest computed polymorph   668.5 meV per atom
Space-group type   No. 166
E_form   1.395 eV per atom

Entry 7:
VASP calculation (PBE-GGA) on a relaxed BaNpNiN3 crystal.

a b c (Å): 3.5488 7.5519 7.6333
angles (deg): 106.80 90.00 90.00
Closest atoms and distances in Å follow each position.
Element x y z (fractional)
Ni (0.7500, 0.9239, 0.4046)  4 N 1.95-2.02
Ni (0.2500, 0.0761, 0.5954)  4 N 1.95-2.02
Np (0.2500, 0.6747, 0.1574)  6 N 2.17-2.32
Np (0.7500, 0.3253, 0.8426)  6 N 2.17-2.32
Ba (0.2500, 0.2097, 0.2489)  5 N 2.83-2.96, 1 Ni 3.09
Ba (0.7500, 0.7903, 0.7511)  5 N 2.83-2.96, 1 Ni 3.09
N (0.7500, 0.4724, 0.1374)  3 Np 2.20-2.32
N (0.7500, 0.1827, 0.5512)  3 Ni 1.95-2.02, 1 Np 2.17
N (0.7500, 0.8418, 0.1336)  1 Ni 1.98, 2 Np 2.21
N (0.2500, 0.5276, 0.8626)  3 Np 2.20-2.32
N (0.2500, 0.8173, 0.4488)  3 Ni 1.95-2.02, 1 Np 2.17
N (0.2500, 0.1582, 0.8664)  1 Ni 1.98, 2 Np 2.21

Properties
DOS(E_F)   12.60 states/eV/cell
Crystal system   monoclinic
Formation energy (no corrections)   -0.672 eV/atom
Space-group type   No. 11

Entry 8:
VASP calculation (PBE-GGA) on a relaxed MgBi3I crystal.

a b c (Å): 5.9427 5.9427 5.9427
angles (deg): 90.00 90.00 90.00
Closest atoms and distances in Å follow each position.
Element x y z (fractional)
Bi (0.5000, 0.0000, 0.0000)  2 I 2.97
Bi (0.0000, 0.0000, 0.5000)  2 I 2.97
Bi (0.0000, 0.5000, 0.0000)  2 I 2.97
I (0.0000, 0.0000, 0.0000)  6 Bi 2.97
Mg (0.5000, 0.5000, 0.5000)  12 Bi 4.20

Properties
DOS(E_F)   5.47 states/eV/cell
Crystal system   cubic
Formation energy (no corrections)   0.922 eV/atom
Space-group type   No. 221

Entry 9:
VASP calculation (PBE-GGA) on a relaxed Mg2Pd2F crystal.

a b c (Å): 5.8376 5.8376 4.5665
angles (deg): 90.00 90.00 90.00
Closest atoms and distances in Å follow each position.
Element x y z (fractional)
F (0.0000, 0.0000, 0.0000)  4 Mg 2.16
F (0.5000, 0.5000, 0.0000)  4 Mg 2.16
Mg (0.3268, 0.8268, 0.0000)  2 F 2.16
Mg (0.1732, 0.3268, 0.0000)  2 F 2.16
Mg (0.6732, 0.1732, 0.0000)  2 F 2.16
Mg (0.8268, 0.6732, 0.0000)  2 F 2.16
Pd (0.6589, 0.8411, 0.5000)  1 Pd 2.62, 2 Mg 2.67
Pd (0.8411, 0.3411, 0.5000)  1 Pd 2.62, 2 Mg 2.67
Pd (0.3411, 0.1589, 0.5000)  1 Pd 2.62, 2 Mg 2.67
Pd (0.1589, 0.6589, 0.5000)  1 Pd 2.62, 2 Mg 2.67

Properties
DOS(E_F)   2.88 states/eV/cell
Crystal system   tetragonal
Formation energy (no corrections)   -0.996 eV/atom
ΔE to the lowest computed polymorph   0.0 meV per atom
Space-group type   No. 127

Entry 10:
VASP calculation (PBE-GGA) on a relaxed HfCo2NCl crystal.

a b c (Å): 3.5673 5.3939 3.5673
angles (deg): 90.00 90.00 90.00
Closest atoms and distances in Å follow each position.
Element x y z (fractional)
Co (0.5000, 0.0000, 0.0000)  2 N 1.78
Co (0.0000, 0.0000, 0.5000)  2 N 1.78
N (0.0000, 0.0000, 0.0000)  4 Co 1.78
Cl (0.0000, 0.5000, 0.0000)  4 Hf 2.52, 2 N 2.70
Hf (0.5000, 0.5000, 0.5000)  4 Cl 2.52

Properties
DOS(E_F)   4.64 states/eV/cell
Crystal system   tetragonal
Formation energy (no corrections)   -0.010 eV/atom
Space-group type   No. 123

Entry 11:
VASP calculation (PBE-GGA) on a relaxed ZnCuP crystal.

a b c (Å): 4.3113 4.3113 4.3212
angles (deg): 132.20 132.20 69.72
Closest atoms and distances in Å follow each position.
Element x y z (fractional)
Zn (0.6676, 0.6676, 0.0000)  1 Cu 2.37, 1 P 2.39
Cu (0.0030, 0.0030, 0.0000)  1 P 2.31, 1 Zn 2.37
P (0.3294, 0.3294, 0.0000)  1 Cu 2.31, 1 Zn 2.39

Properties
DOS(E_F)   0.82 states/eV/cell
Crystal system   orthorhombic
Space-group type   No. 42
E_form   0.150 eV per atom

Entry 12:
VASP calculation (PBE-GGA) on a relaxed Tb2PrAl crystal.

a b c (Å): 3.6277 3.6277 10.7958
angles (deg): 80.33 80.33 60.00
Closest atoms and distances in Å follow each position.
Element x y z (fractional)
Pr (0.5002, 0.5002, 0.4994)  6 Pr 3.63, 6 Tb 3.69-3.70
Al (0.6663, 0.6663, 0.0010)  6 Tb 3.06-3.08
Tb (0.2626, 0.2626, 0.2122)  3 Al 3.06
Tb (0.0709, 0.0709, 0.7874)  3 Al 3.08

Properties
DOS(E_F)   4.76 states/eV/cell
Crystal system   trigonal
ΔE to the lowest computed polymorph   124.2 meV per atom
Space-group type   No. 160
E_form   -0.064 eV per atom